No. 1
Here is crystalline TaBe2CuB at its relaxed geometry from the Alexandria database. Energies are from GGA-PBE.

```
TaBe2CuB
1.0
-3.991 2.292 0.048
-1.378 -2.478 3.780
1.859 3.179 2.761
B Be Ta Cu
1 2 1 1
Direct
0.500 0.500 0.500
0.000 0.000 0.500
0.500 0.000 0.000
0.000 0.000 0.000
0.000 0.500 0.000
```

Fermi-level density of states = 5.76 states/eV/cell
calculated total energy = -17.43 eV for the cell shown

***

No. 2
Here is crystalline Ba6SrCa5 at its relaxed geometry from the Alexandria database. Energies are from GGA-PBE.

```
Ba6SrCa5
1.0
6.721 0.000 0.022
3.361 10.080 0.011
-0.031 0.000 9.490
Sr Ba Ca
1 6 5
Direct
0.000 0.000 0.000
0.831 0.338 0.253
0.169 0.662 0.253
0.500 0.000 0.744
0.500 0.000 0.256
0.831 0.338 0.747
0.169 0.662 0.747
0.334 0.332 0.500
0.000 0.000 0.500
0.665 0.670 0.000
0.666 0.668 0.500
0.335 0.330 0.000
```

Fermi-level density of states = 21.53 states/eV/cell
calculated total energy = -22.86 eV for the cell shown

***

No. 3
Here is crystalline CeEr3Sc2Se6 at its relaxed geometry from the Alexandria database. Energies are from GGA-PBE.

```
CeEr3Sc2Se6
1.0
4.001 0.000 0.000
0.000 8.070 0.296
-2.001 -2.315 8.436
Se Ce Er Sc
6 1 3 2
Direct
0.673 0.092 0.345
0.004 0.262 0.008
0.329 0.424 0.658
0.996 0.738 0.992
0.327 0.908 0.655
0.671 0.576 0.342
0.500 0.000 0.000
0.838 0.169 0.676
0.162 0.831 0.324
0.500 0.500 0.000
0.837 0.676 0.674
0.163 0.324 0.326
```

Fermi-level density of states = 11.36 states/eV/cell
energy relative to the elements, uncorrected = -1672 meV per atom

***

Q: Among the records above, which one has the highest Fermi-level density of states?
A: Ba6SrCa5

***

Q: The highest Fermi-level density of states belongs to which entry?
A: Ba6SrCa5

***

Q: Which value of Fermi-level density of states does entry 3 give?
A: 11.36 states/eV/cell

***

Q: The highest Fermi-level density of states belongs to which entry?
A: Ba6SrCa5